[1]
VASP calculation (PBE) on a geometry-optimized Pu2Pd6Pt structure.

The structure in extended XYZ format:
```
9
Lattice="6.1545 -2.0737 0.0000 6.1545 2.0737 0.0000 -1.9215 0.0000 6.2109" Properties=species:S:1:pos:R:3 pbc="T T T"
Pu 0.0945 0.0000 2.0312
Pu 10.2930 0.0000 4.1797
Pd 2.0647 0.0000 0.0010
Pd 2.1416 0.0000 4.1785
Pd 4.0631 0.0000 1.9904
Pd 6.3244 0.0000 4.2204
Pd 8.2460 0.0000 2.0324
Pd 8.3229 0.0000 6.2099
Pt 6.1545 0.0000 0.0000
```

Calculated values
For the total moment, the calculation gives 1.0778 μB/atom. The polymorph energy (0 for the lowest one) comes out at 0.0 meV/atom.

[2]
VASP calculation (PBE) on a geometry-optimized Tb4HoZn2 structure.

The structure in extended XYZ format:
```
7
Lattice="2.6266 1.5165 8.5822 -2.6266 1.5165 8.5822 0.0000 -3.0329 8.5822" Properties=species:S:1:pos:R:3 pbc="T T T"
Tb 0.0000 0.0000 2.5741
Tb 0.0000 0.0000 7.2237
Tb 0.0000 0.0000 18.5229
Tb 0.0000 0.0000 23.1725
Ho 0.0000 0.0000 12.8733
Zn 0.0000 0.0000 10.1209
Zn 0.0000 0.0000 15.6257
```

Calculated values
For the total moment, the calculation gives 0.0000 μB/atom.

[3]
VASP calculation (PBE) on a geometry-optimized NiP3Pt12Pb2 structure.

The structure in extended XYZ format:
```
18
Lattice="4.0302 2.3268 6.0464 -4.0302 2.3268 6.0464 0.0000 -4.6537 6.0464" Properties=species:S:1:pos:R:3 pbc="T T T"
Ni 0.0000 0.0000 0.0000
P -4.0302 0.0000 9.0696
P -2.0151 1.1634 3.0232
P 2.0151 1.1634 3.0232
Pt -2.1374 -1.2341 8.4164
Pt 0.0000 -2.3234 5.3090
Pt -2.0121 1.1617 5.3090
Pt 0.0000 -2.4681 9.7228
Pt -2.1374 1.2341 9.7228
Pt -2.0121 -1.1617 12.8302
Pt 2.0121 1.1617 5.3090
Pt 2.1374 -1.2341 8.4164
Pt 0.0000 2.4681 8.4164
Pt 2.0121 -1.1617 12.8302
Pt 0.0000 2.3234 12.8302
Pt 2.1374 1.2341 9.7228
Pb 0.0000 0.0000 6.9340
Pb 0.0000 0.0000 11.2052
```

Calculated values
For the total moment, the calculation gives 0.0613 μB/atom.

[4]
VASP calculation (PBE) on a geometry-optimized NaCaLaZn structure.

The structure in extended XYZ format:
```
4
Lattice="0.0000 3.8961 3.8961 3.8961 0.0000 3.8961 3.8961 3.8961 0.0000" Properties=species:S:1:pos:R:3 pbc="T T T"
Na 0.0000 0.0000 0.0000
Ca 1.9481 1.9481 1.9481
La 5.8442 5.8442 5.8442
Zn 3.8961 3.8961 3.8961
```

Calculated values
For the total moment, the calculation gives 0.0000 μB/atom.

Number 1: formation energy from the elements -455 meV per atom. Number 2: formation energy from the elements 155 meV per atom. Number 3: formation energy from the elements -153 meV per atom. Number 4: formation energy from the elements -5 meV per atom.